# BeCo2O4, relaxed, DFT GGA+U
data_BeCo2O4
_cell_length_a 8.9978
_cell_length_b 2.8927
_cell_length_c 9.3096
_cell_angle_alpha 90.00
_cell_angle_beta 90.00
_cell_angle_gamma 90.00
_symmetry_space_group_name_H-M 'P n m a'
_symmetry_Int_Tables_number 62
_symmetry_space_group_name_Hall '-P 2ac 2n'
loop_
_atom_site_label
_atom_site_type_symbol
_atom_site_fract_x
_atom_site_fract_y
_atom_site_fract_z
Be1 Be 0.1447 0.2500 0.1087
Co1 Co 0.1182 0.2500 0.4289
Co2 Co 0.1306 0.2500 0.7980
O1 O 0.0178 0.2500 0.6144
O2 O 0.0220 0.7500 0.8748
O3 O 0.2330 0.2500 0.2503
O4 O 0.2457 0.2500 0.9721
# Total DFT energy (no corrections) (eV/atom): -6.197
# Spin magnetization (μB per atom): 0.0000